DFT (PBE) results for an optimized crystal structure of RbBi2H.

- Fermi-level density of states: 3.90 states/eV/cell
- Polymorph energy (0 for the lowest one): 0 meV/atom

a b c (Å): 7.130 7.130 7.176
angles (deg): 60.21 60.21 90.00
Positions (direct):
H1 0.500 0.500 0.000
H2 0.250 0.750 0.500
Bi1 0.375 0.125 0.250
Bi2 0.375 0.625 0.250
Bi3 0.375 0.625 0.750
Bi4 0.875 0.625 0.750
Rb1 0.000 0.000 0.000
Rb2 0.750 0.250 0.500

DFT (PBE) results for an optimized crystal structure of Rb10Bi2H3.

- Total DFT energy (no corrections): -2.01 eV/atom
- Fermi-level density of states: 6.44 states/eV/cell

a b c (Å): 8.520 11.962 14.022
angles (deg): 110.32 107.69 90.00
Positions (direct):
Rb1 0.616 0.975 0.770
Rb2 0.154 0.975 0.770
Rb3 0.384 0.025 0.230
Rb4 0.846 0.025 0.230
Rb5 0.595 0.517 0.680
Rb6 0.085 0.517 0.680
Rb7 0.405 0.483 0.320
Rb8 0.915 0.483 0.320
Rb9 0.976 0.803 0.952
Rb10 0.024 0.197 0.048
Rb11 0.860 0.261 0.720
Rb12 0.140 0.739 0.280
Rb13 0.763 0.731 0.525
Rb14 0.237 0.269 0.475
Rb15 0.479 0.806 0.958
Rb16 0.521 0.194 0.042
Rb17 0.750 0.500 0.000
Rb18 0.250 0.500 0.000
Rb19 0.500 0.000 0.500
Rb20 0.000 0.000 0.500
Bi1 0.717 0.287 0.434
Bi2 0.283 0.713 0.566
Bi3 0.613 0.736 0.226
Bi4 0.387 0.264 0.774
H1 0.927 0.531 0.855
H2 0.073 0.469 0.145
H3 0.823 0.992 0.645
H4 0.177 0.008 0.355
H5 0.738 0.000 0.000
H6 0.262 0.000 0.000

DFT (PBE) results for an optimized crystal structure of Rb2BiH.

- Fermi-level density of states: 1.43 states/eV/cell
- Polymorph energy (0 for the lowest one): 0 meV/atom

a b c (Å): 3.600 3.600 9.453
angles (deg): 90.00 90.00 90.00
Positions (direct):
H1 0.500 0.500 0.000
Bi1 0.500 0.500 0.500
Rb1 0.000 0.000 0.812
Rb2 0.000 0.000 0.188

DFT (PBE) results for an optimized crystal structure of Rb2BiH.

- Fermi-level density of states: 0.97 states/eV/cell
- Polymorph energy (0 for the lowest one): 266 meV/atom

a b c (Å): 8.313 8.313 7.543
angles (deg): 56.56 56.56 90.00
Positions (direct):
H1 0.500 0.500 0.000
H2 0.250 0.750 0.500
Bi1 0.000 0.000 0.000
Bi2 0.750 0.250 0.500
Rb1 0.518 0.125 0.250
Rb2 0.232 0.625 0.250
Rb3 0.375 0.482 0.750
Rb4 0.875 0.768 0.750

DFT (PBE) results for an optimized crystal structure of Rb2BiHRu.

- Total DFT energy (no corrections): -3.00 eV/atom
- Fermi-level density of states: 4.56 states/eV/cell

a b c (Å): 6.513 5.116 6.513
angles (deg): 90.00 90.00 90.00
Positions (direct):
Ru1 0.000 0.000 0.000
Bi1 0.000 0.500 0.000
Rb1 0.000 0.000 0.500
Rb2 0.500 0.000 0.000
H1 0.500 0.500 0.500

DFT (PBE) results for an optimized crystal structure of RbBiHS2.

- Total DFT energy (no corrections): -3.69 eV/atom
- Fermi-level density of states: 2.09 states/eV/cell

a b c (Å): 4.240 7.381 9.087
angles (deg): 111.97 90.00 90.00
Positions (direct):
Rb1 0.290 0.500 0.750
Rb2 0.710 0.500 0.250
Bi1 0.390 0.000 0.250
Bi2 0.610 0.000 0.750
H1 0.000 0.000 0.000
H2 0.000 0.000 0.500
S1 0.817 0.814 0.026
S2 0.817 0.186 0.474
S3 0.183 0.814 0.526
S4 0.183 0.186 0.974

DFT (PBE) results for an optimized crystal structure of RbBiHSe2.

- Fermi-level density of states: 2.68 states/eV/cell
- Polymorph energy (0 for the lowest one): 0 meV/atom

a b c (Å): 7.271 7.617 6.987
angles (deg): 123.03 90.00 90.00
Positions (direct):
Rb1 0.185 0.750 0.500
Rb2 0.815 0.250 0.500
Bi1 0.500 0.750 0.000
Bi2 0.500 0.250 0.000
H1 0.000 0.000 0.000
H2 0.000 0.500 0.000
Se1 0.784 0.928 0.856
Se2 0.784 0.572 0.144
Se3 0.216 0.428 0.856
Se4 0.216 0.072 0.144

DFT (PBE) results for an optimized crystal structure of RbBiHSe2.

- Fermi-level density of states: 8.85 states/eV/cell
- Polymorph energy (0 for the lowest one): 1738 meV/atom

a b c (Å): 6.313 6.516 6.313
angles (deg): 90.00 90.00 90.00
Positions (direct):
H1 0.500 0.500 0.500
Se1 0.000 0.000 0.500
Se2 0.500 0.000 0.000
Bi1 0.000 0.500 0.000
Rb1 0.000 0.000 0.000

DFT (PBE) results for an optimized crystal structure of Rb2SrBiH.

- Total DFT energy (no corrections): -2.55 eV/atom
- Fermi-level density of states: 0.03 states/eV/cell

a b c (Å): 5.366 5.366 5.911
angles (deg): 90.00 90.00 90.00
Positions (direct):
Sr1 0.000 0.000 0.500
Bi1 0.500 0.500 0.500
Rb1 0.000 0.500 0.000
Rb2 0.500 0.000 0.000
H1 0.000 0.000 0.000

DFT (PBE) results for an optimized crystal structure of Rb2TlBiH.

- Fermi-level density of states: 3.24 states/eV/cell
- Polymorph energy (0 for the lowest one): 0 meV/atom

a b c (Å): 5.737 7.653 8.997
angles (deg): 107.43 90.00 90.00
Positions (direct):
Rb1 0.750 0.869 0.627
Rb2 0.750 0.753 0.070
Rb3 0.250 0.131 0.373
Rb4 0.250 0.247 0.930
Tl1 0.250 0.569 0.667
Tl2 0.750 0.431 0.333
Bi1 0.250 0.610 0.315
Bi2 0.750 0.390 0.685
H1 0.250 0.839 0.804
H2 0.750 0.161 0.196

DFT (PBE) results for an optimized crystal structure of Rb2TlBiH.

- Fermi-level density of states: 2.25 states/eV/cell
- Polymorph energy (0 for the lowest one): 96 meV/atom

a b c (Å): 5.323 5.323 5.739
angles (deg): 90.00 90.00 90.00
Positions (direct):
H1 0.000 0.000 0.000
Tl1 0.000 0.000 0.500
Bi1 0.500 0.500 0.500
Rb1 0.000 0.500 0.000
Rb2 0.500 0.000 0.000

DFT (PBE) results for an optimized crystal structure of Rb2ZnBiH.

- Total DFT energy (no corrections): -2.36 eV/atom

a b c (Å): 4.643 7.491 10.647
angles (deg): 109.91 90.00 90.00
Positions (direct):
Rb1 0.750 0.795 0.595
Rb2 0.750 0.779 0.042
Rb3 0.250 0.205 0.405
Rb4 0.250 0.221 0.958
Zn1 0.250 0.555 0.767
Zn2 0.750 0.445 0.233
Bi1 0.250 0.652 0.288
Bi2 0.750 0.348 0.712
H1 0.250 0.796 0.836
H2 0.750 0.204 0.164